First-principles (PBE+U) data for crystalline CuW2O8 at its relaxed geometry, as listed in the Alexandria database.

Values from the calculation:
N(E_F)   0.596 states/eV/atom
E_tot   -71.13 eV/cell
Crystal system   trigonal
M_tot   0.27 μB per atom

Cell: 6.2535 6.2535 3.9513 Å, 90.00 90.00 120.00°
Element x y z (fractional)
Cu 0.0000 0.0000 0.0000
W 0.3333 0.6667 0.2515
W 0.6667 0.3333 0.7485
O 0.1636 0.3272 0.2451
O 0.1636 0.8364 0.2451
O 0.3272 0.1636 0.7549
O 0.3333 0.6667 0.7455
O 0.6667 0.3333 0.2545
O 0.6728 0.8364 0.2451
O 0.8364 0.1636 0.7549
O 0.8364 0.6728 0.7549